AgPdPt2 | the Alexandria database | GGA-PBE | optimized geometry; E above lowest polymorph = 0.032 eV per atom; formation energy from the elements = 0.011 eV per atom; E = -0.185 hartree per atom; space-group type = P4/mmm
1.0
-2.402 -1.388 0.279
1.070 -1.420 2.148
-2.742 5.793 5.195
Pd Ag Pt
1 1 2
Direct
0.500 0.500 0.000
0.500 0.500 0.500
0.000 0.000 0.760
0.000 0.000 0.240